(one)
A plane-wave DFT calculation with GGA-PBE was carried out for a relaxed structure of BiPt3Se.

total moment	0.000	μB per atom
DOS(E_F)	0.849	states/eV per atom
symmetry	Pm-3m

Cell lengths 4.7804, 4.7804, 4.7804 Å; angles 90.00, 90.00, 90.00 degrees
Atoms (fractional coordinates):
Bi1 0.0000 0.0000 0.0000
Pt1 0.0000 0.5000 0.5000
Pt2 0.5000 0.0000 0.5000
Pt3 0.5000 0.5000 0.0000
Se1 0.5000 0.5000 0.5000

---

(two)
A plane-wave DFT calculation with GGA-PBE was carried out for a relaxed structure of BiPt3Se.

total moment	0.000	μB per atom
DOS(E_F)	1.588	states/eV per atom
symmetry	Pm-3m

Cell lengths 5.0973, 5.0973, 5.0973 Å; angles 90.00, 90.00, 90.00 degrees
Atoms (fractional coordinates):
Bi1 0.0000 0.0000 0.0000
Pt1 0.0000 0.0000 0.5000
Pt2 0.0000 0.5000 0.0000
Pt3 0.5000 0.0000 0.0000
Se1 0.5000 0.5000 0.5000

---

Compare the structures above. Which one is the least stable? (two) is.